Below is Ce8TlRh2 after structural relaxation, with properties calculated at the GGA-PBE level.

```
Ce8TlRh2
1.0
4.163 -6.717 0.000
4.163 6.717 0.000
-1.367 0.000 5.181
Ce Tl Rh
8 1 2
Direct
0.083 0.083 0.812
0.210 0.419 0.434
0.244 0.756 0.000
0.419 0.210 0.434
0.581 0.790 0.566
0.756 0.244 0.000
0.790 0.581 0.566
0.917 0.917 0.188
0.500 0.500 0.000
0.200 0.800 0.500
0.800 0.200 0.500
```

Results
The density of states at the Fermi level is 31.1 states/eV/f.u. The formation energy comes out at -0.248 eV/atom.